Below is a relaxed TmCd4B3Pt12 crystal, with properties calculated at the GGA-PBE level. Values from VASP.

Cell and atoms, written as Quantum ESPRESSO input:
```
&SYSTEM
  ibrav = 0, nat = 20, ntyp = 4
/
ATOMIC_SPECIES
Tm 168.93 Tm.upf
Cd 112.41 Cd.upf
B 10.81 B.upf
Pt 195.08 Pt.upf
CELL_PARAMETERS angstrom
-4.439 4.439 4.439
4.439 -4.439 4.439
4.439 4.439 -4.439
ATOMIC_POSITIONS crystal
Tm 0.000 0.000 0.000
Cd 0.000 0.000 0.500
Cd 0.000 0.500 0.000
Cd 0.500 0.000 0.000
Cd 0.500 0.500 0.500
B 0.000 0.500 0.500
B 0.500 0.000 0.500
B 0.500 0.500 0.000
Pt 0.000 0.281 0.281
Pt 0.000 0.719 0.719
Pt 0.250 0.500 0.750
Pt 0.250 0.750 0.500
Pt 0.281 0.000 0.281
Pt 0.281 0.281 0.000
Pt 0.500 0.250 0.750
Pt 0.500 0.750 0.250
Pt 0.719 0.000 0.719
Pt 0.719 0.719 0.000
Pt 0.750 0.250 0.500
Pt 0.750 0.500 0.250
```

Summary:
Fermi-level density of states, states/eV/cell: 8.4
Theoretical density, g/cm³: 14.2
Symmetry: Im-3m
Magnetic moment, μB per cell: 0.00
Energy of formation from the pure elements, meV per atom: 22